## w
## TlNi2W (PBE-GGA)

Data for TlNi2W after structural relaxation.

Cell and atoms, written as POSCAR:
```
TlNi2W
1.0
-2.9383 0.4141 0.6319
0.0238 -2.4858 1.7392
1.6393 3.6676 5.2195
Ni Tl W
2 1 1
Direct
0.0000 0.0000 0.0125
0.5000 0.5000 0.2062
0.0000 0.0000 0.4728
0.5000 0.5000 0.8085
```

---

## x
## TlNi2W (PBE-GGA)

Data for TlNi2W after structural relaxation.

Cell and atoms, written as POSCAR:
```
TlNi2W
1.0
2.8332 0.0000 0.0000
0.0000 5.0494 -0.0120
0.0000 3.4273 4.2912
Ni Tl W
2 1 1
Direct
0.0000 0.0000 0.0000
0.5000 0.5000 0.0000
0.5000 0.5000 0.5000
0.0000 0.0000 0.5000
```

---

Winner for stability: w